Entry 1:
VASP calculation (PBE-GGA) on a relaxed Dy2I2Br crystal.

```
data_Dy2I2Br
_chemical_formula_sum 'Dy8 I8 Br4'
_cell_length_a 22.702
_cell_length_b 4.017
_cell_length_c 8.730
_cell_angle_alpha 90.00
_cell_angle_beta 99.78
_cell_angle_gamma 90.00
_symmetry_space_group_name_H-M 'C 1 2/m 1'
_symmetry_Int_Tables_number 12
_symmetry_space_group_name_Hall '-C 2y'
loop_
_atom_site_label
_atom_site_type_symbol
_atom_site_fract_x
_atom_site_fract_y
_atom_site_fract_z
Dy1 Dy 0.186 0.000 0.420
Dy2 Dy 0.188 0.500 0.795
I1 I 0.091 0.000 0.665
I2 I 0.091 0.500 0.272
Br1 Br 0.190 0.000 0.051
```

Values from the calculation:
raw total energy = -78.37 eV for the cell shown
volume = 784.57 Å³/cell
density = 5.58 g/cm³
DOS at the Fermi energy = 3.17 states/eV/f.u.
size of the total moment = 0.9 μB per cell
formation energy without anion corrections = -5.61 eV per formula unit

***

Entry 2:
VASP calculation (PBE-GGA) on a relaxed DyIBr2 crystal.

```
data_DyIBr2
_chemical_formula_sum 'Dy2 I2 Br4'
_cell_length_a 3.834
_cell_length_b 12.181
_cell_length_c 7.769
_cell_angle_alpha 90.00
_cell_angle_beta 90.00
_cell_angle_gamma 90.00
_symmetry_space_group_name_H-M 'I m m 2'
_symmetry_Int_Tables_number 44
_symmetry_space_group_name_Hall 'I 2 -2'
loop_
_atom_site_label
_atom_site_type_symbol
_atom_site_fract_x
_atom_site_fract_y
_atom_site_fract_z
Dy1 Dy 0.000 0.000 0.000
I1 I 0.000 0.500 0.196
Br1 Br 0.000 0.350 0.632
```

Values from the calculation:
raw total energy = -32.31 eV for the cell shown
volume = 362.81 Å³/cell
density = 4.11 g/cm³
DOS at the Fermi energy = 0.00 states/eV/f.u.
size of the total moment = 0.0 μB per cell
formation energy without anion corrections = -6.65 eV per formula unit